Arrangement A

! HfGaPt3 | the Alexandria database | GGA-PBE | optimized geometry; values from VASP
&SYSTEM
  ibrav = 0, nat = 5, ntyp = 3
/
ATOMIC_SPECIES
Pt 195.08 Pt.upf
Hf 178.49 Hf.upf
Ga 69.72 Ga.upf
CELL_PARAMETERS angstrom
-0.4265 4.4074 -1.2725
-4.5863 -0.3819 0.2145
0.0997 1.2866 4.4228
ATOMIC_POSITIONS crystal
Pt 0.0000 0.0000 0.5000
Pt 0.0000 0.5000 0.0000
Hf 0.5000 0.5000 0.5000
Pt 0.5000 0.0000 0.0000
Ga 0.0000 0.0000 0.0000
! **Crystal system**: cubic
! **V**: 19.6 Å³/atom
! **Calculated density**: 14.15 g cm⁻³
! **Size of the total moment**: 0.00 μB/f.u.
! **Symmetry**: Pm-3m, No. 221

---

Arrangement B

! HfGaPt3 | the Alexandria database | GGA-PBE | optimized geometry; values from VASP
&SYSTEM
  ibrav = 0, nat = 10, ntyp = 3
/
ATOMIC_SPECIES
Pt 195.08 Pt.upf
Hf 178.49 Hf.upf
Ga 69.72 Ga.upf
CELL_PARAMETERS angstrom
-2.7868 -0.1256 -3.8357
-1.5219 -5.2356 1.2771
-2.8102 4.3906 4.8302
ATOMIC_POSITIONS crystal
Pt 0.2046 0.6682 0.4093
Hf 0.1854 0.1486 0.3708
Ga 0.4039 0.6104 0.8078
Pt 0.7954 0.3318 0.5907
Pt 0.0067 0.2620 0.0133
Pt 0.3857 0.1206 0.7714
Pt 0.6143 0.8794 0.2286
Hf 0.8146 0.8514 0.6292
Pt 0.9933 0.7380 0.9867
Ga 0.5961 0.3896 0.1922
! **Crystal system**: monoclinic
! **V**: 16.8 Å³/atom
! **Calculated density**: 16.51 g cm⁻³
! **Size of the total moment**: 0.00 μB/f.u.
! **Symmetry**: C2/m, No. 12

---

arrangement B ends up most stable, edging out the next structure by 94.9 kJ/mol of atoms.

---

Arrangement A

! HfGa3Pt | the Alexandria database | GGA-PBE | optimized geometry; values from VASP
&SYSTEM
  ibrav = 0, nat = 5, ntyp = 3
/
ATOMIC_SPECIES
Ga 69.72 Ga.upf
Pt 195.08 Pt.upf
Hf 178.49 Hf.upf
CELL_PARAMETERS angstrom
5.0737 0.0000 0.0000
0.0000 5.0737 0.0000
0.0000 0.0000 5.0737
ATOMIC_POSITIONS crystal
Ga 0.0000 0.0000 0.5000
Pt 0.5000 0.5000 0.5000
Ga 0.0000 0.5000 0.0000
Hf 0.0000 0.0000 0.0000
Ga 0.5000 0.0000 0.0000
! **Crystal system**: cubic
! **V**: 26.1 Å³/atom
! **Calculated density**: 7.41 g cm⁻³
! **Size of the total moment**: 0.00 μB/f.u.
! **Symmetry**: Pm-3m, No. 221

---

Arrangement B

! HfGa3Pt | the Alexandria database | GGA-PBE | optimized geometry; values from VASP
&SYSTEM
  ibrav = 0, nat = 5, ntyp = 3
/
ATOMIC_SPECIES
Pt 195.08 Pt.upf
Ga 69.72 Ga.upf
Hf 178.49 Hf.upf
CELL_PARAMETERS angstrom
-4.1160 -2.3416 -0.5601
1.7586 -2.1662 -3.8670
1.6445 -3.5444 2.7334
ATOMIC_POSITIONS crystal
Pt 0.0000 0.0000 0.0000
Ga 0.0000 0.5000 0.0000
Ga 0.0000 0.0000 0.5000
Hf 0.5000 0.5000 0.5000
Ga 0.5000 0.0000 0.0000
! **Crystal system**: cubic
! **V**: 21.7 Å³/atom
! **Calculated density**: 8.92 g cm⁻³
! **Size of the total moment**: 0.00 μB/f.u.
! **Symmetry**: Pm-3m, No. 221

---

arrangement B ends up most stable, edging out the next structure by 78.0 kJ/mol of atoms.

---

Arrangement A

! Hf4GaPt | the Alexandria database | GGA-PBE | optimized geometry; values from VASP
&SYSTEM
  ibrav = 0, nat = 12, ntyp = 3
/
ATOMIC_SPECIES
Hf 178.49 Hf.upf
Pt 195.08 Pt.upf
Ga 69.72 Ga.upf
CELL_PARAMETERS angstrom
6.4414 0.4777 0.0002
-0.4794 6.4415 0.0002
-2.9808 -3.4593 6.3712
ATOMIC_POSITIONS crystal
Hf 0.2477 0.4999 0.5000
Pt 0.8750 0.1250 0.2500
Hf 0.7524 0.0001 0.5000
Hf 0.9999 0.2476 0.0000
Ga 0.6250 0.3750 0.7500
Hf 0.4999 0.2477 0.0000
Pt 0.1250 0.8750 0.7500
Hf 0.5001 0.7523 0.0000
Hf 0.0001 0.7524 0.0000
Ga 0.3750 0.6250 0.2500
Hf 0.2476 0.9999 0.5000
Hf 0.7523 0.5001 0.5000
! **Crystal system**: tetragonal
! **V**: 22.2 Å³/atom
! **Calculated density**: 12.23 g cm⁻³
! **Size of the total moment**: 0.00 μB/f.u.
! **Symmetry**: I4_1/amd, No. 141

---

Arrangement B

! Hf4GaPt | the Alexandria database | GGA-PBE | optimized geometry; values from VASP
&SYSTEM
  ibrav = 0, nat = 12, ntyp = 3
/
ATOMIC_SPECIES
Hf 178.49 Hf.upf
Pt 195.08 Pt.upf
Ga 69.72 Ga.upf
CELL_PARAMETERS angstrom
-3.1532 0.1829 -4.3930
-3.6390 -5.0186 2.4031
-3.9935 4.3551 3.0478
ATOMIC_POSITIONS crystal
Hf 0.5000 0.8409 0.6569
Hf 0.0000 0.6569 0.8409
Hf 0.0000 0.3431 0.1591
Hf 0.0000 0.8409 0.3431
Hf 0.0000 0.1591 0.6569
Hf 0.5000 0.1591 0.3431
Hf 0.5000 0.3431 0.8409
Pt 0.7500 0.5000 0.5000
Ga 0.7500 0.0000 0.0000
Hf 0.5000 0.6569 0.1591
Pt 0.2500 0.5000 0.5000
Ga 0.2500 0.0000 0.0000
! **Crystal system**: tetragonal
! **V**: 19.9 Å³/atom
! **Calculated density**: 13.59 g cm⁻³
! **Size of the total moment**: 0.00 μB/f.u.
! **Symmetry**: P4/mcc, No. 124

---

arrangement B ends up most stable, edging out the next structure by 28.3 kJ/mol of atoms.

---

Arrangement A

! HfGaPt4 | the Alexandria database | GGA-PBE | optimized geometry; values from VASP
&SYSTEM
  ibrav = 0, nat = 12, ntyp = 3
/
ATOMIC_SPECIES
Pt 195.08 Pt.upf
Ga 69.72 Ga.upf
Hf 178.49 Hf.upf
CELL_PARAMETERS angstrom
-3.2911 3.1510 1.0987
-2.6789 -3.7387 2.6977
4.0882 1.9569 6.7718
ATOMIC_POSITIONS crystal
Pt 0.9978 0.0899 0.3358
Ga 0.5000 0.0000 0.5000
Hf 0.0000 0.0000 0.0000
Pt 0.9988 0.5796 0.1793
Ga 0.0000 0.5000 0.5000
Hf 0.5000 0.5000 0.0000
Pt 0.4988 0.9204 0.1793
Pt 0.0022 0.9101 0.6642
Pt 0.5022 0.5899 0.6642
Pt 0.4978 0.4101 0.3358
Pt 0.5012 0.0796 0.8207
Pt 0.0012 0.4204 0.8207
! **Crystal system**: monoclinic
! **V**: 17.0 Å³/atom
! **Calculated density**: 16.77 g cm⁻³
! **Size of the total moment**: 0.00 μB/f.u.
! **Symmetry**: P2_1/c, No. 14

---

Arrangement B

! HfGaPt4 | the Alexandria database | GGA-PBE | optimized geometry; values from VASP
&SYSTEM
  ibrav = 0, nat = 24, ntyp = 3
/
ATOMIC_SPECIES
Pt 195.08 Pt.upf
Ga 69.72 Ga.upf
Hf 178.49 Hf.upf
CELL_PARAMETERS angstrom
3.9190 0.0000 0.0000
0.0000 5.6348 0.0000
0.0000 0.0000 19.0152
ATOMIC_POSITIONS crystal
Pt 0.2500 0.5997 0.1186
Ga 0.2500 0.6199 0.2513
Pt 0.2500 0.6308 0.6992
Pt 0.7500 0.3473 0.0341
Pt 0.7500 0.3692 0.3008
Pt 0.2500 0.1308 0.8008
Hf 0.2500 0.6524 0.5534
Pt 0.7500 0.8858 0.8866
Hf 0.7500 0.3476 0.4466
Pt 0.2500 0.6527 0.9659
Pt 0.2500 0.6142 0.3866
Pt 0.2500 0.0997 0.3814
Pt 0.7500 0.3858 0.6134
Pt 0.7500 0.8473 0.4659
Ga 0.2500 0.1199 0.2487
Pt 0.7500 0.4003 0.8814
Pt 0.7500 0.9003 0.6186
Pt 0.2500 0.1527 0.5341
Pt 0.7500 0.8692 0.1992
Hf 0.7500 0.8476 0.0534
Ga 0.7500 0.8801 0.7513
Ga 0.7500 0.3801 0.7487
Pt 0.2500 0.1142 0.1134
Hf 0.2500 0.1524 0.9466
! **Crystal system**: orthorhombic
! **V**: 17.5 Å³/atom
! **Calculated density**: 16.27 g cm⁻³
! **Size of the total moment**: 0.00 μB/f.u.
! **Symmetry**: Pnma, No. 62

---

arrangement B ends up most stable, edging out the next structure by 5.1 kJ/mol of atoms.

---

Arrangement A

! PuHfGa2 | the Alexandria database | GGA-PBE | optimized geometry; values from VASP
&SYSTEM
  ibrav = 0, nat = 4, ntyp = 3
/
ATOMIC_SPECIES
Ga 69.72 Ga.upf
Pu 244.00 Pu.upf
Hf 178.49 Hf.upf
CELL_PARAMETERS angstrom
-1.9311 4.2358 1.4171
-4.0629 1.6490 -2.1104
-4.1827 0.0565 2.4863
ATOMIC_POSITIONS crystal
Ga 0.2500 0.2500 0.2500
Ga 0.7500 0.7500 0.7500
Pu 0.0000 0.0000 0.0000
Hf 0.5000 0.5000 0.5000
! **Crystal system**: cubic
! **V**: 20.4 Å³/atom
! **Calculated density**: 11.45 g cm⁻³
! **Size of the total moment**: 5.79 μB/f.u.
! **Symmetry**: Fm-3m, No. 225

---

Arrangement B

! PuHfGa2 | the Alexandria database | GGA-PBE | optimized geometry; values from VASP
&SYSTEM
  ibrav = 0, nat = 4, ntyp = 3
/
ATOMIC_SPECIES
Ga 69.72 Ga.upf
Pu 244.00 Pu.upf
Hf 178.49 Hf.upf
CELL_PARAMETERS angstrom
-0.1322 2.4799 3.2405
-3.2504 -2.5121 1.7899
3.0811 -2.5220 2.0557
ATOMIC_POSITIONS crystal
Ga 0.0000 0.0000 0.5000
Pu 0.5000 0.5000 0.5000
Ga 0.0000 0.5000 0.0000
Hf 0.5000 0.0000 0.0000
! **Crystal system**: tetragonal
! **V**: 20.5 Å³/atom
! **Calculated density**: 11.38 g cm⁻³
! **Size of the total moment**: 6.04 μB/f.u.
! **Symmetry**: P4/mmm, No. 123

---

arrangement A ends up most stable, edging out the next structure by 5.9 kJ/mol of atoms.

---

Arrangement A

! PuHfGa2 | the Alexandria database | GGA-PBE | optimized geometry; values from VASP
&SYSTEM
  ibrav = 0, nat = 4, ntyp = 3
/
ATOMIC_SPECIES
Ga 69.72 Ga.upf
Hf 178.49 Hf.upf
Pu 244.00 Pu.upf
CELL_PARAMETERS angstrom
3.0595 0.0000 0.0000
0.0000 3.0595 0.0000
0.0000 0.0000 8.4835
ATOMIC_POSITIONS crystal
Ga 0.0000 0.0000 0.2345
Hf 0.5000 0.5000 0.0000
Pu 0.5000 0.5000 0.5000
Ga 0.0000 0.0000 0.7655
! **Crystal system**: tetragonal
! **V**: 19.9 Å³/atom
! **Calculated density**: 11.75 g cm⁻³
! **Size of the total moment**: 5.32 μB/f.u.
! **Symmetry**: P4/mmm, No. 123

---

Arrangement B

! PuHfGa2 | the Alexandria database | GGA-PBE | optimized geometry; values from VASP
&SYSTEM
  ibrav = 0, nat = 4, ntyp = 3
/
ATOMIC_SPECIES
Ga 69.72 Ga.upf
Pu 244.00 Pu.upf
Hf 178.49 Hf.upf
CELL_PARAMETERS angstrom
3.2465 0.0000 0.0000
1.6233 2.8116 0.0000
1.6233 0.9372 9.3227
ATOMIC_POSITIONS crystal
Ga 0.2548 0.2548 0.2356
Pu 0.5000 0.5000 0.5000
Hf 0.0000 0.0000 0.0000
Ga 0.7452 0.7452 0.7644
! **Crystal system**: trigonal
! **V**: 21.3 Å³/atom
! **Calculated density**: 10.97 g cm⁻³
! **Size of the total moment**: 5.64 μB/f.u.
! **Symmetry**: R-3m, No. 166

---

arrangement A ends up most stable, edging out the next structure by 19.6 kJ/mol of atoms.

---

Arrangement A

! RbHf3Ga | the Alexandria database | GGA-PBE | optimized geometry; values from VASP
&SYSTEM
  ibrav = 0, nat = 5, ntyp = 3
/
ATOMIC_SPECIES
Ga 69.72 Ga.upf
Hf 178.49 Hf.upf
Rb 85.47 Rb.upf
CELL_PARAMETERS angstrom
5.0221 0.0000 0.0000
0.0000 5.0221 0.0000
0.0000 0.0000 5.0221
ATOMIC_POSITIONS crystal
Ga 0.5000 0.5000 0.5000
Hf 0.0000 0.0000 0.5000
Rb 0.0000 0.0000 0.0000
Hf 0.0000 0.5000 0.0000
Hf 0.5000 0.0000 0.0000
! **Crystal system**: cubic
! **V**: 25.3 Å³/atom
! **Calculated density**: 9.05 g cm⁻³
! **Size of the total moment**: 0.00 μB/f.u.
! **Symmetry**: Pm-3m, No. 221

---

Arrangement B

! RbHf3Ga | the Alexandria database | GGA-PBE | optimized geometry; values from VASP
&SYSTEM
  ibrav = 0, nat = 5, ntyp = 3
/
ATOMIC_SPECIES
Ga 69.72 Ga.upf
Hf 178.49 Hf.upf
Rb 85.47 Rb.upf
CELL_PARAMETERS angstrom
-0.6914 2.1678 4.7042
-0.0942 -4.7504 2.1753
5.1788 0.2030 0.6676
ATOMIC_POSITIONS crystal
Ga 0.0000 0.0000 0.0000
Hf 0.5000 0.0000 0.0000
Hf 0.0000 0.0000 0.5000
Hf 0.0000 0.5000 0.0000
Rb 0.5000 0.5000 0.5000
! **Crystal system**: cubic
! **V**: 28.5 Å³/atom
! **Calculated density**: 8.04 g cm⁻³
! **Size of the total moment**: 0.00 μB/f.u.
! **Symmetry**: Pm-3m, No. 221

---

arrangement B ends up most stable, edging out the next structure by 121.6 kJ/mol of atoms.